No. 1
VASP calculation (PBE) on crystalline YPbBr at its relaxed geometry.

Summary:
Energy in eV per atom: -4.775
Raw formation energy in kJ/mol of formula units: -239
Total moment in μB/f.u.: 0.00
SG: P3m1

a = 3.7977 Å, b = 3.7977 Å, c = 8.0399 Å
α = 90.00°, β = 90.00°, γ = 120.00°
Closest atoms and distances in Å follow each position.
Fractional positions:
Pb: 0.6667 0.3333 0.3833  3 Y 3.30
Y: 0.3333 0.6667 0.6898  3 Br 2.91
Br: 0.0000 0.0000 0.9269  3 Y 2.91



No. 2
VASP calculation (PBE) on crystalline PrThZnPd at its relaxed geometry.

Summary:
Energy of formation from the pure elements in eV/f.u.: -1.588
Energy in eV per atom: -5.063
Total moment in μB/f.u.: 0.00
SG: F-43m

a = 5.1841 Å, b = 5.1841 Å, c = 5.1841 Å
α = 60.00°, β = 60.00°, γ = 60.00°
Closest atoms and distances in Å follow each position.
Fractional positions:
Pr: 0.2500 0.2500 0.2500  4 Pd 3.17, 4 Zn 3.17
Zn: 0.5000 0.5000 0.5000  4 Pr 3.17, 4 Th 3.17
Pd: 0.0000 0.0000 0.0000  4 Th 3.17, 4 Pr 3.17
Th: 0.7500 0.7500 0.7500  4 Pd 3.17, 4 Zn 3.17



No. 3
VASP calculation (PBE) on crystalline ZnSb2IrI at its relaxed geometry.

Summary:
Energy in eV per atom: -2.722
Raw formation energy in kJ/mol of formula units: 610
Total moment in μB/f.u.: 0.29
SG: P4/mmm

a = 5.0485 Å, b = 5.0485 Å, c = 5.2953 Å
α = 90.00°, β = 90.00°, γ = 90.00°
Closest atoms and distances in Å follow each position.
Fractional positions:
I: 0.0000 0.0000 0.5000  2 Zn 2.65
Sb: 0.0000 0.5000 0.0000  2 Zn 2.52
Sb: 0.5000 0.0000 0.0000  2 Zn 2.52
Zn: 0.0000 0.0000 0.0000  4 Sb 2.52, 2 I 2.65
Ir: 0.5000 0.5000 0.5000  4 I 3.57, 8 Sb 3.66



No. 4
VASP calculation (PBE) on crystalline CdTe2OsN at its relaxed geometry.

Summary:
Energy in eV per atom: -3.389
Raw formation energy in kJ/mol of formula units: 946
Total moment in μB/f.u.: 2.96
SG: P4/mmm

a = 5.5137 Å, b = 5.5137 Å, c = 3.9368 Å
α = 90.00°, β = 90.00°, γ = 90.00°
Closest atoms and distances in Å follow each position.
Fractional positions:
N: 0.0000 0.0000 0.5000  2 Cd 1.97
Te: 0.0000 0.5000 0.0000  2 Cd 2.76
Te: 0.5000 0.0000 0.0000  2 Cd 2.76
Os: 0.5000 0.5000 0.5000  8 Te 3.39
Cd: 0.0000 0.0000 0.0000  2 N 1.97



No. 5
VASP calculation (PBE) on crystalline Ge3MoP at its relaxed geometry.

Summary:
Energy of formation from the pure elements in eV/f.u.: 3.903
Energy in eV per atom: -5.238
Total moment in μB/f.u.: 2.79
SG: Pm-3m

a = 4.9065 Å, b = 4.9065 Å, c = 4.9065 Å
α = 90.00°, β = 90.00°, γ = 90.00°
Closest atoms and distances in Å follow each position.
Fractional positions:
P: 0.5000 0.5000 0.5000  12 Ge 3.47
Mo: 0.0000 0.0000 0.0000  6 Ge 2.45
Ge: 0.0000 0.5000 0.0000  2 Mo 2.45
Ge: 0.0000 0.0000 0.5000  2 Mo 2.45
Ge: 0.5000 0.0000 0.0000  2 Mo 2.45



No. 6
VASP calculation (PBE) on crystalline AgTeP2Cl at its relaxed geometry.

Summary:
Energy in eV per atom: -2.954
Raw formation energy in kJ/mol of formula units: 375
Total moment in μB/f.u.: 0.00
SG: P4/mmm

a = 4.9235 Å, b = 4.9235 Å, c = 4.7771 Å
α = 90.00°, β = 90.00°, γ = 90.00°
Closest atoms and distances in Å follow each position.
Fractional positions:
P: 0.0000 0.5000 0.0000  2 Ag 2.46
P: 0.5000 0.0000 0.0000  2 Ag 2.46
Te: 0.5000 0.5000 0.5000  8 P 3.43, 4 Cl 3.48
Ag: 0.0000 0.0000 0.0000  2 Cl 2.39, 4 P 2.46
Cl: 0.0000 0.0000 0.5000  2 Ag 2.39



No. 7
VASP calculation (PBE) on crystalline AcPuPaSb at its relaxed geometry.

Summary:
Energy in eV per atom: -7.929
Raw formation energy in kJ/mol of formula units: 33
Total moment in μB/f.u.: 7.42
SG: F-43m

a = 5.4783 Å, b = 5.4783 Å, c = 5.4783 Å
α = 60.00°, β = 60.00°, γ = 60.00°
Closest atoms and distances in Å follow each position.
Fractional positions:
Sb: 0.0000 0.0000 0.0000  4 Ac 3.35, 4 Pu 3.35
Ac: 0.7500 0.7500 0.7500  4 Sb 3.35, 4 Pa 3.35
Pa: 0.5000 0.5000 0.5000  4 Ac 3.35, 4 Pu 3.35
Pu: 0.2500 0.2500 0.2500  4 Pa 3.35, 4 Sb 3.35



No. 8
VASP calculation (PBE) on crystalline DyAlNi5 at its relaxed geometry.

Summary:
Energy of formation from the pure elements in eV/f.u.: -3.106
Energy in eV per atom: -5.765
Total moment in μB/f.u.: 0.00
SG: Pnma

a = 4.7960 Å, b = 7.8728 Å, c = 9.9868 Å
α = 90.00°, β = 90.00°, γ = 90.00°
Closest atoms and distances in Å follow each position.
Fractional positions:
Dy: 0.2500 0.2480 0.9415  6 Ni 2.72-2.88
Dy: 0.7500 0.2520 0.4415  6 Ni 2.72-2.88
Dy: 0.2500 0.7480 0.5585  6 Ni 2.72-2.88
Dy: 0.7500 0.7520 0.0585  6 Ni 2.72-2.88
Al: 0.2500 0.8583 0.8578  8 Ni 2.45-2.65
Al: 0.7500 0.6417 0.3578  8 Ni 2.45-2.65
Al: 0.2500 0.3583 0.6422  8 Ni 2.45-2.65
Al: 0.7500 0.1417 0.1422  8 Ni 2.45-2.65
Ni: 0.2500 0.5966 0.0166  5 Ni 2.42-2.51, 1 Al 2.60
Ni: 0.7500 0.9034 0.5166  5 Ni 2.42-2.51, 1 Al 2.60
Ni: 0.2500 0.0966 0.4834  5 Ni 2.42-2.51, 1 Al 2.60
Ni: 0.7500 0.4034 0.9834  5 Ni 2.42-2.51, 1 Al 2.60
Ni: 0.7500 0.3132 0.7495  7 Ni 2.37-2.60
Ni: 0.2500 0.1868 0.2495  7 Ni 2.37-2.60
Ni: 0.7500 0.8132 0.7505  7 Ni 2.37-2.60
Ni: 0.2500 0.6868 0.2505  7 Ni 2.37-2.60
Ni: 0.2500 0.9495 0.0924  4 Ni 2.44-2.60, 1 Al 2.45
Ni: 0.7500 0.5505 0.5924  4 Ni 2.44-2.60, 1 Al 2.45
Ni: 0.2500 0.4495 0.4076  4 Ni 2.44-2.60, 1 Al 2.45
Ni: 0.7500 0.0505 0.9076  4 Ni 2.44-2.60, 1 Al 2.45
Ni: 0.9943 0.4342 0.1945  7 Ni 2.34-2.51, 1 Al 2.59
Ni: 0.0057 0.0658 0.6945  7 Ni 2.34-2.51, 1 Al 2.59
Ni: 0.5057 0.9342 0.3055  7 Ni 2.34-2.51, 1 Al 2.59
Ni: 0.4943 0.5658 0.8055  7 Ni 2.34-2.51, 1 Al 2.59
Ni: 0.0057 0.5658 0.8055  7 Ni 2.34-2.51, 1 Al 2.59
Ni: 0.9943 0.9342 0.3055  7 Ni 2.34-2.51, 1 Al 2.59
Ni: 0.4943 0.0658 0.6945  7 Ni 2.34-2.51, 1 Al 2.59
Ni: 0.5057 0.4342 0.1945  7 Ni 2.34-2.51, 1 Al 2.59



No. 9
VASP calculation (PBE) on crystalline Hf2BiIr2 at its relaxed geometry.

Summary:
Energy of formation from the pure elements in eV/f.u.: -2.824
Energy in eV per atom: -8.867
Total moment in μB/f.u.: 0.00
SG: I4/mmm

a = 4.4886 Å, b = 4.4886 Å, c = 6.3145 Å
α = 69.18°, β = 69.18°, γ = 90.00°
Closest atoms and distances in Å follow each position.
Fractional positions:
Ir: 0.3807 0.3807 0.2387  1 Ir 2.61, 4 Hf 2.66
Ir: 0.6193 0.6193 0.7613  1 Ir 2.61, 4 Hf 2.66
Hf: 0.7500 0.2500 0.5000  4 Ir 2.66
Hf: 0.2500 0.7500 0.5000  4 Ir 2.66
Bi: 0.0000 0.0000 0.0000  8 Ir 3.43, 8 Hf 3.53



No. 10
VASP calculation (PBE) on crystalline SrTe2P at its relaxed geometry.

Summary:
Energy in eV per atom: -3.483
Raw formation energy in kJ/mol of formula units: -54
Total moment in μB/f.u.: 1.18
SG: R-3m

a = 8.6869 Å, b = 8.6869 Å, c = 8.6869 Å
α = 34.68°, β = 34.68°, γ = 34.68°
Closest atoms and distances in Å follow each position.
Fractional positions:
Sr: 0.5000 0.5000 0.5000  6 Te 3.35
Te: 0.8947 0.8947 0.8947  1 P 2.58
Te: 0.1053 0.1053 0.1053  1 P 2.58
P: 0.0000 0.0000 0.0000  2 Te 2.58



No. 11
VASP calculation (PBE) on crystalline La2TbO4 at its relaxed geometry.

Summary:
Energy in eV per atom: -8.056
Raw formation energy in kJ/mol of formula units: -2130
Total moment in μB/f.u.: 0.00
SG: C2/m

a = 3.5764 Å, b = 6.2375 Å, c = 6.5804 Å
α = 121.05°, β = 105.77°, γ = 90.00°
Closest atoms and distances in Å follow each position.
Fractional positions:
La: 0.6924 0.6878 0.3849  4 O 2.38-2.59
La: 0.3076 0.3122 0.6151  4 O 2.38-2.59
Tb: 0.0000 0.0000 0.0000  6 O 2.29-2.41
O: 0.8740 0.1607 0.7481  1 Tb 2.29, 2 La 2.38
O: 0.1260 0.8393 0.2519  1 Tb 2.29, 2 La 2.38
O: 0.6371 0.2563 0.2742  1 La 2.39, 2 Tb 2.41
O: 0.3629 0.7437 0.7258  1 La 2.39, 2 Tb 2.41



No. 12
VASP calculation (PBE) on crystalline CoCuRh2 at its relaxed geometry.

Summary:
Energy of formation from the pure elements in eV/f.u.: 0.480
Energy in eV per atom: -6.356
Total moment in μB/f.u.: 1.61
SG: R3m

a = 8.6283 Å, b = 8.6283 Å, c = 8.6283 Å
α = 17.84°, β = 17.84°, γ = 17.84°
Closest atoms and distances in Å follow each position.
Fractional positions:
Co: 0.4995 0.4995 0.4995  3 Cu 2.55, 3 Rh 2.56, 6 Co 2.68
Rh: 0.0014 0.0014 0.0014  3 Cu 2.66, 9 Rh 2.68-2.73
Rh: 0.2461 0.2461 0.2461  3 Co 2.56, 9 Rh 2.68-2.73
Cu: 0.7530 0.7530 0.7530  3 Co 2.55, 3 Rh 2.66, 6 Cu 2.68



- What is the formula in the ninth record?
  Hf2BiIr2



- What is the energy in the fourth record?
  -3.389 eV per atom



- energy of number 9 (Hf2BiIr2)?
  -8.867 eV per atom



- What is the formula in the eighth record?
  DyAlNi5